<i>
The following is a DFT calculation (PBE) of a relaxed Ti2AgSe4 crystal.

```
14
Lattice="1.8259 -6.0777 0.0000 1.8259 6.0777 0.0000 0.0000 0.0000 13.1542" Properties=species:S:1:pos:R:3 pbc="T T T"
Ti 1.8259 4.4716 7.4602
Ti 1.8259 4.4716 12.2711
Ti 1.8259 -4.4716 0.8831
Ti 1.8259 -4.4716 5.6940
Ag 1.8259 1.3091 9.8657
Ag 1.8259 -1.3091 3.2886
Se 1.8259 5.3658 9.8657
Se 1.8259 3.3387 1.4895
Se 1.8259 3.3387 5.0876
Se 1.8259 0.0000 0.0000
Se 1.8259 0.0000 6.5771
Se 1.8259 -3.3387 8.0666
Se 1.8259 -3.3387 11.6647
Se 1.8259 -5.3658 3.2886
```

## Properties
Theoretical density ... 5.909 g/cm3

<ii>
The following is a DFT calculation (PBE) of a relaxed Ti2AgSe4 crystal.

```
7
Lattice="6.2379 0.0000 0.0000 0.0000 3.6225 0.0000 -0.2180 0.0000 6.8316" Properties=species:S:1:pos:R:3 pbc="T T T"
Ti 0.0000 0.0000 0.0000
Ti 3.1190 1.8112 0.0000
Ag -0.1090 0.0000 3.4158
Se 1.0586 1.8112 1.5456
Se 1.8986 0.0000 5.3018
Se 4.1214 0.0000 1.5297
Se 4.9614 1.8112 5.2860
```

## Properties
Theoretical density ... 5.588 g/cm3

From most stable to least stable, the computed energies give <ii>, <i>.

<i>
The following is a DFT calculation (PBE) of a relaxed Tl2Ag2Se crystal.

```
10
Lattice="8.8825 0.0000 0.0000 0.0000 8.8825 0.0000 0.0000 0.0000 3.0867" Properties=species:S:1:pos:R:3 pbc="T T T"
Tl 1.6999 2.7413 0.0000
Tl 2.7413 7.1825 0.0000
Tl 6.1412 1.6999 0.0000
Tl 7.1825 6.1412 0.0000
Ag 0.9671 5.4083 1.5433
Ag 3.4742 0.9671 1.5433
Ag 5.4083 7.9154 1.5433
Ag 7.9154 3.4742 1.5433
Se 0.0000 0.0000 0.0000
Se 4.4412 4.4412 0.0000
```

## Properties
Theoretical density ... 9.593 g/cm3

<ii>
The following is a DFT calculation (PBE) of a relaxed Tl2Ag2Se crystal.

```
10
Lattice="7.2920 0.0000 0.0000 0.0000 7.2920 0.0000 0.0000 0.0000 4.6497" Properties=species:S:1:pos:R:3 pbc="T T T"
Tl 1.2427 2.4033 0.0000
Tl 2.4033 6.0493 0.0000
Tl 4.8887 1.2427 0.0000
Tl 6.0493 4.8887 0.0000
Ag 0.9940 4.6400 2.3248
Ag 2.6520 0.9940 2.3248
Ag 4.6400 6.2980 2.3248
Ag 6.2980 2.6520 2.3248
Se 0.0000 0.0000 2.3248
Se 3.6460 3.6460 2.3248
```

## Properties
Theoretical density ... 9.449 g/cm3

<iii>
The following is a DFT calculation (PBE) of a relaxed Tl2Ag2Se crystal.

```
5
Lattice="-1.9397 1.9397 8.7952 1.9397 -1.9397 8.7952 1.9397 1.9397 -8.7952" Properties=species:S:1:pos:R:3 pbc="T T T"
Tl 0.0000 0.0000 1.6702
Tl 0.0000 0.0000 15.9202
Ag 1.9397 0.0000 4.3976
Ag 0.0000 1.9397 4.3976
Se 0.0000 0.0000 8.7952
```

## Properties
Theoretical density ... 8.825 g/cm3

From most stable to least stable, the computed energies give <ii>, <iii>, <i>.

<i>
The following is a DFT calculation (PBE) of a relaxed Tl2AgSe crystal.

```
4
Lattice="0.0000 3.7428 3.7428 3.7428 0.0000 3.7428 3.7428 3.7428 0.0000" Properties=species:S:1:pos:R:3 pbc="T T T"
Tl 0.0000 0.0000 0.0000
Tl 1.8714 1.8714 1.8714
Ag 5.6142 5.6142 5.6142
Se 3.7428 3.7428 3.7428
```

## Properties
Theoretical density ... 9.432 g/cm3

<ii>
The following is a DFT calculation (PBE) of a relaxed Tl2AgSe crystal.

```
4
Lattice="3.7593 -2.1595 0.0000 3.7593 2.1595 0.0000 -2.4801 0.0000 7.1175" Properties=species:S:1:pos:R:3 pbc="T T T"
Tl 0.0000 0.0000 0.0000
Tl 0.0160 0.0000 4.5735
Ag 2.5106 0.0000 2.9531
Se 5.0077 0.0000 1.8578
```

## Properties
Theoretical density ... 8.558 g/cm3

From most stable to least stable, the computed energies give <ii>, <i>.

<i>
The following is a DFT calculation (PBE) of a relaxed VAgSe3 crystal.

```
5
Lattice="4.8568 0.0000 0.0000 0.0000 4.8568 0.0000 0.0000 0.0000 4.8568" Properties=species:S:1:pos:R:3 pbc="T T T"
V 0.0000 0.0000 0.0000
Ag 2.4284 2.4284 2.4284
Se 0.0000 0.0000 2.4284
Se 0.0000 2.4284 0.0000
Se 2.4284 0.0000 0.0000
```

## Properties
Theoretical density ... 5.735 g/cm3

<ii>
The following is a DFT calculation (PBE) of a relaxed VAgSe3 crystal.

```
10
Lattice="3.2532 1.8782 6.0930 -3.2532 1.8782 6.0930 0.0000 -3.7564 6.0930" Properties=species:S:1:pos:R:3 pbc="T T T"
V 0.0000 0.0000 3.3881
V 0.0000 0.0000 14.8908
Ag 0.0000 0.0000 6.4694
Ag 0.0000 0.0000 11.8096
Se -2.3669 0.0562 7.7669
Se -1.2322 -2.0217 10.5120
Se 1.1348 -2.0779 7.7669
Se -1.1348 2.0779 10.5120
Se 1.2322 2.0217 7.7669
Se 2.3669 -0.0562 10.5120
```

## Properties
Theoretical density ... 5.883 g/cm3

From most stable to least stable, the computed energies give <ii>, <i>.

<i>
The following is a DFT calculation (PBE) of a relaxed AgW3Se crystal.

```
5
Lattice="4.6073 0.0000 0.0000 0.0000 4.6073 0.0000 0.0000 0.0000 4.6073" Properties=species:S:1:pos:R:3 pbc="T T T"
Ag 0.0000 0.0000 0.0000
W 0.0000 2.3037 2.3037
W 2.3037 0.0000 2.3037
W 2.3037 2.3037 0.0000
Se 2.3037 2.3037 2.3037
```

## Properties
Theoretical density ... 12.536 g/cm3

<ii>
The following is a DFT calculation (PBE) of a relaxed AgW3Se crystal.

```
5
Lattice="4.8243 0.0000 0.0000 0.0000 4.8243 0.0000 0.0000 0.0000 4.8243" Properties=species:S:1:pos:R:3 pbc="T T T"
Ag 0.0000 0.0000 0.0000
W 0.0000 0.0000 2.4122
W 0.0000 2.4122 0.0000
W 2.4122 0.0000 0.0000
Se 2.4122 2.4122 2.4122
```

## Properties
Theoretical density ... 10.919 g/cm3

From most stable to least stable, the computed energies give <i>, <ii>.

<i>
The following is a DFT calculation (PBE) of a relaxed Y3AgSe crystal.

```
5
Lattice="5.3344 0.0000 0.0000 0.0000 5.3344 0.0000 0.0000 0.0000 5.3344" Properties=species:S:1:pos:R:3 pbc="T T T"
Y 0.0000 0.0000 2.6672
Y 0.0000 2.6672 0.0000
Y 2.6672 0.0000 0.0000
Ag 2.6672 2.6672 2.6672
Se 0.0000 0.0000 0.0000
```

## Properties
Theoretical density ... 4.961 g/cm3

<ii>
The following is a DFT calculation (PBE) of a relaxed Y3AgSe crystal.

```
20
Lattice="9.0519 0.0000 0.0000 0.0000 3.9150 0.0000 0.0000 0.0000 15.2607" Properties=species:S:1:pos:R:3 pbc="T T T"
Y 0.1585 0.9787 1.6921
Y 1.3992 0.9787 8.4191
Y 1.6369 2.9362 4.3465
Y 2.8891 0.9787 11.9769
Y 3.1268 2.9362 0.7887
Y 4.3674 2.9362 9.3224
Y 4.6845 0.9787 5.9383
Y 5.9251 0.9787 14.4720
Y 6.1628 2.9362 3.2838
Y 7.4150 0.9787 10.9142
Y 7.6527 2.9362 6.8416
Y 8.8934 2.9362 13.5686
Ag 0.8435 2.9362 10.6205
Ag 3.6824 0.9787 2.9902
Ag 5.3695 2.9362 12.2705
Ag 8.2084 0.9787 4.6402
Se 1.6763 0.9787 14.5373
Se 2.8497 2.9362 6.9069
Se 6.2022 0.9787 8.3538
Se 7.3756 2.9362 0.7234
```

## Properties
Theoretical density ... 5.570 g/cm3

From most stable to least stable, the computed energies give <ii>, <i>.

<i>
The following is a DFT calculation (PBE) of a relaxed Y2Ag2Se crystal.

```
10
Lattice="7.8081 0.0000 0.0000 0.0000 7.8081 0.0000 0.0000 0.0000 3.9526" Properties=species:S:1:pos:R:3 pbc="T T T"
Y 1.3282 2.5758 0.0000
Y 2.5758 6.4799 0.0000
Y 5.2322 1.3282 0.0000
Y 6.4799 5.2322 0.0000
Ag 0.9813 4.8854 1.9763
Ag 2.9227 0.9813 1.9763
Ag 4.8854 6.8268 1.9763
Ag 6.8268 2.9227 1.9763
Se 0.0000 0.0000 1.9763
Se 3.9040 3.9040 1.9763
```

## Properties
Theoretical density ... 6.512 g/cm3

<ii>
The following is a DFT calculation (PBE) of a relaxed Y2Ag2Se crystal.

```
10
Lattice="7.7088 0.0000 0.0000 0.0000 7.7088 0.0000 0.0000 0.0000 4.3180" Properties=species:S:1:pos:R:3 pbc="T T T"
Y 1.3353 2.5192 0.0000
Y 2.5192 6.3736 0.0000
Y 5.1897 1.3353 0.0000
Y 6.3736 5.1897 0.0000
Ag 0.9706 4.8250 2.1590
Ag 2.8838 0.9706 2.1590
Ag 4.8250 6.7382 2.1590
Ag 6.7382 2.8838 2.1590
Se 0.0000 0.0000 0.0000
Se 3.8544 3.8544 0.0000
```

## Properties
Theoretical density ... 6.116 g/cm3

From most stable to least stable, the computed energies give <ii>, <i>.

<i>
The following is a DFT calculation (PBE) of a relaxed YAg3Se crystal.

```
5
Lattice="5.4549 0.0000 0.0000 0.0000 5.4549 0.0000 0.0000 0.0000 5.4549" Properties=species:S:1:pos:R:3 pbc="T T T"
Y 0.0000 0.0000 0.0000
Ag 0.0000 0.0000 2.7274
Ag 0.0000 2.7274 0.0000
Ag 2.7274 0.0000 0.0000
Se 2.7274 2.7274 2.7274
```

## Properties
Theoretical density ... 5.028 g/cm3

<ii>
The following is a DFT calculation (PBE) of a relaxed YAg3Se crystal.

```
5
Lattice="5.0397 0.0000 0.0000 0.0000 5.0397 0.0000 0.0000 0.0000 5.0397" Properties=species:S:1:pos:R:3 pbc="T T T"
Y 0.0000 0.0000 0.0000
Ag 0.0000 2.5199 2.5199
Ag 2.5199 0.0000 2.5199
Ag 2.5199 2.5199 0.0000
Se 2.5199 2.5199 2.5199
```

## Properties
Theoretical density ... 6.376 g/cm3

From most stable to least stable, the computed energies give <ii>, <i>.

<i>
The following is a DFT calculation (PBE) of a relaxed ZnAg2Se crystal.

```
4
Lattice="3.5887 0.0000 0.0000 0.0000 3.5887 0.0000 0.0000 0.0000 5.7045" Properties=species:S:1:pos:R:3 pbc="T T T"
Zn 0.0000 0.0000 0.0000
Ag 1.7943 1.7943 1.3675
Ag 1.7943 1.7943 4.3370
Se 0.0000 0.0000 2.8522
```

## Properties
Theoretical density ... 8.140 g/cm3

<ii>
The following is a DFT calculation (PBE) of a relaxed ZnAg2Se crystal.

```
4
Lattice="3.6385 0.0000 0.0000 0.0000 3.6385 0.0000 0.0000 0.0000 5.5939" Properties=species:S:1:pos:R:3 pbc="T T T"
Zn 0.0000 0.0000 0.0000
Ag 0.0000 0.0000 2.7402
Ag 1.8192 1.8192 1.3955
Se 1.8192 1.8192 4.2619
```

## Properties
Theoretical density ... 8.075 g/cm3

<iii>
The following is a DFT calculation (PBE) of a relaxed ZnAg2Se crystal.

```
4
Lattice="0.0000 3.3416 3.3416 3.3416 0.0000 3.3416 3.3416 3.3416 0.0000" Properties=species:S:1:pos:R:3 pbc="T T T"
Zn 0.0000 0.0000 0.0000
Ag 3.3416 3.3416 3.3416
Ag 5.0124 5.0124 5.0124
Se 1.6708 1.6708 1.6708
```

## Properties
Theoretical density ... 8.013 g/cm3

<iv>
The following is a DFT calculation (PBE) of a relaxed ZnAg2Se crystal.

```
4
Lattice="4.6290 -1.9785 0.0000 4.6290 1.9785 0.0000 -0.3728 0.0000 4.4014" Properties=species:S:1:pos:R:3 pbc="T T T"
Zn 0.0000 0.0000 0.0000
Ag 4.0091 0.0000 1.7172
Ag 6.7080 0.0000 0.4727
Se 1.3975 0.0000 2.6708
```

## Properties
Theoretical density ... 7.417 g/cm3

From most stable to least stable, the computed energies give <ii>, <i>, <iv>, <iii>.

<i>
The following is a DFT calculation (PBE) of a relaxed ZnAg2Se crystal.

```
4
Lattice="3.0128 -4.2738 0.0000 3.0128 4.2738 0.0000 -0.0218 0.0000 2.8584" Properties=species:S:1:pos:R:3 pbc="T T T"
Zn 0.0000 0.0000 0.0000
Ag 1.4955 2.1369 1.4292
Ag 1.4955 -2.1369 1.4292
Se 3.0128 0.0000 0.0000
```

## Properties
Theoretical density ... 8.124 g/cm3

<ii>
The following is a DFT calculation (PBE) of a relaxed ZnAg2Se crystal.

```
4
Lattice="4.1686 -1.6423 0.0000 4.1686 1.6423 0.0000 -1.0728 0.0000 5.5706" Properties=species:S:1:pos:R:3 pbc="T T T"
Zn 0.0000 0.0000 0.0000
Ag 1.2827 0.0000 4.3444
Ag 5.9816 0.0000 1.2262
Se 3.6322 0.0000 2.7853
```

## Properties
Theoretical density ... 7.840 g/cm3

From most stable to least stable, the computed energies give <ii>, <i>.